# 1
## NaPO2F (PBE)

Data for NaPO2F after structural relaxation.

As for the crystal system: tetragonal. As for the space-group type: P4/mmm, No. 123.

Cell: 3.503 3.503 4.424 Å, 90.00 90.00 90.00°
Sites, in units of the cell vectors:
P: 0.000 0.000 0.000
F: 0.000 0.000 0.500
O: 0.000 0.500 0.000
O: 0.500 0.000 0.000
Na: 0.500 0.500 0.500

---

# 2
## TeIrBr2 (PBE)

Data for TeIrBr2 after structural relaxation.

As for the crystal system: orthorhombic. As for the space-group type: Cmmm, No. 65.

Cell: 3.420 3.420 11.292 Å, 90.00 90.00 120.51°
Sites, in units of the cell vectors:
Ir: 0.500 0.500 0.250
Te: 0.500 0.500 0.750
Br: 0.000 0.000 0.090
Br: 0.000 0.000 0.410

---

# 3
## CsZn2Ag2 (PBE)

Data for CsZn2Ag2 after structural relaxation.

As for the crystal system: tetragonal. For the offset from the most stable computed form, the calculation gives 0.000 eV/atom. The formation energy is 103 meV/atom. As for the space-group type: I4/mmm, No. 139.

Cell: 6.510 6.510 6.510 Å, 135.71 135.71 64.43°
Sites, in units of the cell vectors:
Cs: 0.000 0.000 0.000
Zn: 0.750 0.250 0.500
Zn: 0.250 0.750 0.500
Ag: 0.635 0.635 0.000
Ag: 0.365 0.365 0.000

---

Quick rundown of calculated volume, same order as above: 54.3 113.8 132.7 Å³/cell
Quick rundown of magnetic moment, same order as above: 0.00 0.00 0.00 μB per formula unit
Quick rundown of E_tot, same order as above: -0.1939 -0.1243 -0.0631 hartree per atom